Entry 1:
The following is a PBE calculation of crystalline Pr5HoTe8 at its relaxed geometry, from the Alexandria database.

Cell: 9.5203 9.5203 9.6211 Å, 90.00 90.00 90.00°
Space group I-4 (No. 82)
Unique sites:
Pr 0.0000 0.0000 0.0000 [2 per cell]
Pr 0.1190 0.2506 0.3759 [8 per cell]
Ho 0.0000 0.5000 0.7500 [2 per cell]
Te 0.0722 0.1827 0.7025 [8 per cell]
Te 0.0763 0.3257 0.0482 [8 per cell]

* formation energy from raw total energies: -1413 meV per atom
* crystal system: tetragonal

Entry 2:
The following is a PBE calculation of crystalline Pr2HoTe at its relaxed geometry, from the Alexandria database.

Cell: 4.0251 4.0251 29.7953 Å, 90.00 90.00 120.00°
Space group R3m (No. 160, hexagonal axes)
Unique sites:
Pr 0.0000 0.0000 0.0000 [3 per cell]
Pr 0.0000 0.0000 0.1871 [3 per cell]
Ho 0.0000 0.0000 0.4265 [3 per cell]
Te 0.0000 0.0000 0.5937 [3 per cell]

* formation energy from raw total energies: -537 meV per atom
* crystal system: trigonal